Entry 1:
VASP calculation (PBE) on crystalline YHoMg at its relaxed geometry.

## Properties
For the raw total energy, the calculation gives -4.2531 eV per atom. The size of the total moment comes out at 0.00 μB per formula unit. As for the space group: Cmcm.

```
data_YHoMg
_cell_length_a 8.777
_cell_length_b 8.777
_cell_length_c 5.468
_cell_angle_alpha 90.00
_cell_angle_beta 90.00
_cell_angle_gamma 155.89
_symmetry_space_group_name_H-M 'P 1'
_symmetry_Int_Tables_number 1
loop_
_symmetry_equiv_pos_as_xyz
'x,y,z'
loop_
_atom_site_label
_atom_site_type_symbol
_atom_site_fract_x
_atom_site_fract_y
_atom_site_fract_z
Ho1 Ho 0.092 0.908 0.250
Ho2 Ho 0.908 0.092 0.750
Mg1 Mg 0.434 0.566 0.250
Mg2 Mg 0.566 0.434 0.750
Y1 Y 0.774 0.226 0.250
Y2 Y 0.226 0.774 0.750
```

Entry 2:
VASP calculation (PBE) on crystalline YHoMg at its relaxed geometry.

## Properties
For the raw total energy, the calculation gives -3.7803 eV per atom. The size of the total moment comes out at 0.06 μB per formula unit. As for the space group: F-43m.

```
data_YHoMg
_cell_length_a 5.221
_cell_length_b 5.221
_cell_length_c 5.221
_cell_angle_alpha 60.00
_cell_angle_beta 60.00
_cell_angle_gamma 60.00
_symmetry_space_group_name_H-M 'P 1'
_symmetry_Int_Tables_number 1
loop_
_symmetry_equiv_pos_as_xyz
'x,y,z'
loop_
_atom_site_label
_atom_site_type_symbol
_atom_site_fract_x
_atom_site_fract_y
_atom_site_fract_z
Ho1 Ho 0.250 0.250 0.250
Mg1 Mg 0.000 0.000 0.000
Y1 Y 0.750 0.750 0.750
```